(1)
Below is an optimized crystal structure of Al3GeP, with properties calculated at the PBE level.

Calculated values
ρ	2.75	g/cm³
energy above the lowest structure with this stoichiometry	280	meV/atom
SG	No. 221

abc: 4.8113 4.8113 4.8113
angles: 90.00 90.00 90.00
Last column: nearest neighbours and their distance in Å.
Fractional positions:
Al  0.0000  0.5000  0.0000  2 Ge 2.41
Al  0.0000  0.0000  0.5000  2 Ge 2.41
P  0.5000  0.5000  0.5000  12 Al 3.40
Ge  0.0000  0.0000  0.0000  6 Al 2.41
Al  0.5000  0.0000  0.0000  2 Ge 2.41

(2)
Below is an optimized crystal structure of LiOsRu3, with properties calculated at the PBE level.

Calculated values
ρ	7.97	g/cm³
energy above the lowest structure with this stoichiometry	438	meV/atom
SG	No. 221

abc: 4.7065 4.7065 4.7065
angles: 90.00 90.00 90.00
Last column: nearest neighbours and their distance in Å.
Fractional positions:
Li  0.5000  0.5000  0.5000  12 Ru 3.33
Os  0.0000  0.0000  0.0000  6 Ru 2.35
Ru  0.5000  0.0000  0.0000  2 Os 2.35
Ru  0.0000  0.5000  0.0000  2 Os 2.35
Ru  0.0000  0.0000  0.5000  2 Os 2.35

(3)
Below is an optimized crystal structure of BaRe4Ru, with properties calculated at the PBE level.

Calculated values
ρ	14.72	g/cm³
VASP energy	-54.7	eV per cell
SG	No. 216

abc: 5.3928 5.3928 5.3928
angles: 60.00 60.00 60.00
Last column: nearest neighbours and their distance in Å.
Fractional positions:
Ba  0.0000  0.0000  0.0000  12 Re 3.16, 4 Ru 3.30
Re  0.8730  0.3757  0.3757  6 Re 2.68-2.71
Ru  0.7500  0.7500  0.7500  12 Re 3.16, 4 Ba 3.30
Re  0.3757  0.8730  0.3757  6 Re 2.68-2.71
Re  0.3757  0.3757  0.8730  6 Re 2.68-2.71
Re  0.3757  0.3757  0.3757  6 Re 2.68-2.71

(4)
Below is an optimized crystal structure of Ca2LaGe2, with properties calculated at the PBE level.

Calculated values
ρ	4.39	g/cm³
energy above the lowest structure with this stoichiometry	0	meV/atom
SG	No. 139

abc: 4.6170 4.6170 7.2466
angles: 71.42 71.42 90.00
Last column: nearest neighbours and their distance in Å.
Fractional positions:
Ge  0.4036  0.4036  0.1927  1 Ge 2.49
Ca  0.2500  0.7500  0.5000  4 Ge 3.05, 4 Ca 3.26
Ge  0.5964  0.5964  0.8073  1 Ge 2.49
Ca  0.7500  0.2500  0.5000  4 Ge 3.05, 4 Ca 3.26
La  0.0000  0.0000  0.0000  8 Ge 3.49

(5)
Below is an optimized crystal structure of NiAgOs2, with properties calculated at the PBE level.

Calculated values
ρ	15.85	g/cm³
energy above the lowest structure with this stoichiometry	384	meV/atom
SG	No. 139

abc: 4.9007 4.9007 4.9007
angles: 135.35 135.35 64.99
Last column: nearest neighbours and their distance in Å.
Fractional positions:
Ag  0.2500  0.7500  0.5000  4 Ni 2.63, 8 Os 2.78
Os  0.0000  0.0000  0.0000  4 Os 2.63, 4 Ni 2.78, 4 Ag 2.78
Ni  0.7500  0.2500  0.5000  4 Ag 2.63, 8 Os 2.78
Os  0.5000  0.5000  0.0000  4 Os 2.63, 4 Ag 2.78, 4 Ni 2.78

(6)
Below is an optimized crystal structure of PrDyBi2, with properties calculated at the PBE level.

Calculated values
ρ	8.94	g/cm³
energy above the lowest structure with this stoichiometry	0	meV/atom
SG	No. 12

abc: 4.5615 4.5615 7.8908
angles: 73.13 73.13 60.08
Last column: nearest neighbours and their distance in Å.
Fractional positions:
Bi  0.7464  0.7464  0.7609  3 Dy 3.18, 3 Pr 3.27
Bi  0.2536  0.2536  0.2391  3 Dy 3.18, 3 Pr 3.27
Pr  0.5000  0.5000  0.5000  6 Bi 3.27
Dy  0.0000  0.0000  0.0000  6 Bi 3.18

(7)
Below is an optimized crystal structure of Co5Rh, with properties calculated at the PBE level.

Calculated values
ρ	9.37	g/cm³
VASP energy	-42.3	eV per cell
SG	No. 123

abc: 2.8952 8.4036 2.8952
angles: 90.00 90.00 90.00
Last column: nearest neighbours and their distance in Å.
Fractional positions:
Co  0.0000  0.0235  0.0000  5 Co 2.42-2.60, 4 Rh 2.60
Co  0.5000  0.4895  0.5000  9 Co 2.42-2.63
Co  0.5000  0.1771  0.5000  9 Co 2.42-2.63
Co  0.0000  0.6432  0.0000  5 Co 2.42-2.60, 4 Rh 2.60
Co  0.0000  0.3333  0.0000  10 Co 2.43-2.60
Rh  0.5000  0.8333  0.5000  10 Co 2.60-2.89, 4 Rh 2.90

(8)
Below is an optimized crystal structure of UCoRu, with properties calculated at the PBE level.

Calculated values
ρ	14.11	g/cm³
energy above the lowest structure with this stoichiometry	185	meV/atom
SG	No. 156

abc: 2.8461 4.3591 4.3591
angles: 120.00 90.00 90.00
Last column: nearest neighbours and their distance in Å.
Fractional positions:
Co  0.5919  0.3333  0.6667  3 U 2.60, 3 Ru 2.84, 2 Co 2.85
Ru  0.0516  0.0000  0.0000  3 U 2.66, 6 Co 2.84-2.95, 2 Ru 2.85
U  0.3564  0.6667  0.3333  3 Co 2.60, 3 Ru 2.66, 2 U 2.85

(9)
Below is an optimized crystal structure of MnCo2CuH, with properties calculated at the PBE level.

Calculated values
ρ	8.07	g/cm³
energy above the lowest structure with this stoichiometry	56	meV/atom
SG	No. 123

abc: 3.6421 3.6421 3.6827
angles: 90.00 90.00 90.00
Last column: nearest neighbours and their distance in Å.
Fractional positions:
H  0.0000  0.0000  0.0000  4 Co 1.82, 2 Cu 1.84
Co  0.0000  0.5000  0.0000  2 H 1.82
Cu  0.0000  0.0000  0.5000  2 H 1.84
Mn  0.5000  0.5000  0.5000  4 Cu 2.58, 8 Co 2.59
Co  0.5000  0.0000  0.0000  2 H 1.82

(10)
Below is an optimized crystal structure of LiNpAlO6, with properties calculated at the PBE level.

Calculated values
ρ	5.67	g/cm³
VASP energy	-136.9	eV per cell
SG	No. 163

abc: 5.1814 5.1814 9.2485
angles: 90.00 90.00 120.00
Last column: nearest neighbours and their distance in Å.
Fractional positions:
Li  0.0000  0.0000  0.5000  6 O 2.25
O  0.3498  0.3631  0.8611  1 Al 1.92, 1 Np 2.01
Al  0.6667  0.3333  0.2500  6 O 1.92
O  0.0134  0.3631  0.6389  1 Al 1.92, 1 Np 2.01
O  0.3631  0.3498  0.3611  1 Al 1.92, 1 Np 2.01
O  0.6369  0.9866  0.8611  1 Al 1.92, 1 Np 2.01
O  0.0134  0.6502  0.8611  1 Al 1.92, 1 Np 2.01
O  0.9866  0.6369  0.3611  1 Al 1.92, 1 Np 2.01
O  0.6502  0.0134  0.3611  1 Al 1.92, 1 Np 2.01
Np  0.3333  0.6667  0.2500  6 O 2.01
O  0.9866  0.3498  0.1389  1 Al 1.92, 1 Np 2.01
O  0.3498  0.9866  0.6389  1 Al 1.92, 1 Np 2.01
O  0.3631  0.0134  0.1389  1 Al 1.92, 1 Np 2.01
Al  0.3333  0.6667  0.7500  6 O 1.92
O  0.6369  0.6502  0.6389  1 Al 1.92, 1 Np 2.01
Li  0.0000  0.0000  0.0000  6 O 2.25
Np  0.6667  0.3333  0.7500  6 O 2.01
O  0.6502  0.6369  0.1389  1 Al 1.92, 1 Np 2.01

(11)
Below is an optimized crystal structure of ReP2OsCl, with properties calculated at the PBE level.

Calculated values
ρ	7.75	g/cm³
energy above the lowest structure with this stoichiometry	0	meV/atom
SG	No. 123

abc: 4.5691 4.5691 4.8660
angles: 90.00 90.00 90.00
Last column: nearest neighbours and their distance in Å.
Fractional positions:
Re  0.5000  0.5000  0.5000  4 Cl 3.23, 8 P 3.34
Os  0.0000  0.0000  0.0000  4 P 2.28, 2 Cl 2.43
P  0.0000  0.5000  0.0000  2 Os 2.28
Cl  0.0000  0.0000  0.5000  2 Os 2.43
P  0.5000  0.0000  0.0000  2 Os 2.28

(12)
Below is an optimized crystal structure of MnMo2, with properties calculated at the PBE level.

Calculated values
ρ	8.33	g/cm³
VASP energy	-117.7	eV per cell
SG	No. 194

abc: 5.2288 5.2288 8.3157
angles: 90.00 90.00 60.00
Last column: nearest neighbours and their distance in Å.
Fractional positions:
Mo  0.1714  0.1714  0.2500  6 Mo 2.54-2.69
Mo  0.8286  0.8286  0.7500  6 Mo 2.54-2.69
Mo  0.3428  0.8286  0.7500  6 Mo 2.54-2.69
Mo  0.8286  0.3428  0.7500  6 Mo 2.54-2.69
Mo  0.0000  0.0000  0.0000  6 Mo 2.59
Mn  0.3333  0.3333  0.9366  12 Mo 2.99-3.06, 4 Mn 3.10-3.20
Mn  0.3333  0.3333  0.5634  12 Mo 2.99-3.06, 4 Mn 3.10-3.20
Mn  0.6667  0.6667  0.4366  12 Mo 2.99-3.06, 4 Mn 3.10-3.20
Mo  0.0000  0.0000  0.5000  6 Mo 2.59
Mo  0.1714  0.6572  0.2500  6 Mo 2.54-2.69
Mn  0.6667  0.6667  0.0634  12 Mo 2.99-3.06, 4 Mn 3.10-3.20
Mo  0.6572  0.1714  0.2500  6 Mo 2.54-2.69